1.
VASP calculation (PBE) on a geometry-optimized Ac8Ge3Te4Pd structure.

Cell lengths 9.4454, 9.4454, 9.4454 Å; angles 58.75, 58.75, 58.75 degrees
Fractional positions:
Ac1 0.2390 0.7419 0.7419
Ac2 0.2421 0.2421 0.2421
Ac3 0.2581 0.2581 0.7610
Ac4 0.2581 0.7610 0.2581
Ac5 0.7419 0.2390 0.7419
Ac6 0.7419 0.7419 0.2390
Ac7 0.7579 0.7579 0.7579
Ac8 0.7610 0.2581 0.2581
Ge1 0.0000 0.0000 0.5000
Ge2 0.0000 0.5000 0.0000
Ge3 0.5000 0.0000 0.0000
Te1 0.0000 0.0000 0.0000
Te2 0.0000 0.5000 0.5000
Te3 0.5000 0.0000 0.5000
Te4 0.5000 0.5000 0.0000
Pd1 0.5000 0.5000 0.5000

Calculated values
Calculated volume ... 36.183 Å³ per atom
M_tot ... 0.000 μB/f.u.
ΔE_f (raw) ... -1.17 eV per atom
Space group ... R-3m (166)

***

2.
VASP calculation (PBE) on a geometry-optimized NdY2TmP4 structure.

Cell lengths 6.9917, 4.0400, 6.9939 Å; angles 90.00, 109.47, 90.00 degrees
Fractional positions:
Nd1 0.0000 0.0000 0.0000
Y1 0.0000 0.5000 0.5000
Y2 0.5000 0.0000 0.5000
Tm1 0.5000 0.5000 0.0000
P1 0.2559 0.0000 0.7500
P2 0.2575 0.5000 0.2546
P3 0.7425 0.5000 0.7454
P4 0.7441 0.0000 0.2500

Calculated values
Formation energy from the elements ... -1587.3 meV per atom
Calculated volume ... 23.283 Å³ per atom
M_tot ... 0.000 μB/f.u.
Space group ... P2/m (10)

***

3.
VASP calculation (PBE) on a geometry-optimized In2Sn3I8 structure.

Cell lengths 9.7786, 9.7786, 8.0247 Å; angles 106.02, 106.02, 56.28 degrees
Fractional positions:
In1 0.2461 0.2461 0.1678
In2 0.7539 0.7539 0.8322
Sn1 0.2403 0.7597 0.5000
Sn2 0.5000 0.5000 0.0000
Sn3 0.7597 0.2403 0.5000
I1 0.1134 0.1134 0.4314
I2 0.1452 0.6301 0.0958
I3 0.3699 0.8548 0.9042
I4 0.3863 0.3863 0.5975
I5 0.6137 0.6137 0.4025
I6 0.6301 0.1452 0.0958
I7 0.8548 0.3699 0.9042
I8 0.8866 0.8866 0.5686

Calculated values
Calculated volume ... 46.629 Å³ per atom
M_tot ... 0.000 μB/f.u.
ΔE_f (raw) ... -0.48 eV per atom
Offset from the most stable computed form ... 0.000 eV/f.u.
Space group ... C2/m (12)

***

4.
VASP calculation (PBE) on a geometry-optimized Ho2FeRh structure.

Cell lengths 4.8327, 4.8327, 3.3457 Å; angles 90.00, 90.00, 90.00 degrees
Fractional positions:
Ho1 0.0000 0.5000 0.0000
Ho2 0.5000 0.0000 0.0000
Fe1 0.0000 0.0000 0.5000
Rh1 0.5000 0.5000 0.5000

Calculated values
Formation energy from the elements ... -355.3 meV per atom
Calculated volume ... 19.535 Å³ per atom
M_tot ... 1.502 μB/f.u.
Offset from the most stable computed form ... 0.000 eV/f.u.
Space group ... P4/mmm (123)

***

5.
VASP calculation (PBE) on a geometry-optimized V2HAu structure.

Cell lengths 4.2414, 4.2414, 4.2414 Å; angles 60.00, 60.00, 60.00 degrees
Fractional positions:
V1 0.2500 0.2500 0.2500
V2 0.7500 0.7500 0.7500
H1 0.0000 0.0000 0.0000
Au1 0.5000 0.5000 0.5000

Calculated values
Calculated volume ... 13.489 Å³ per atom
M_tot ... 0.000 μB/f.u.
Offset from the most stable computed form ... 2.509 eV/f.u.
Space group ... Fm-3m (225)

***

6.
VASP calculation (PBE) on a geometry-optimized CaBiPd3 structure.

Cell lengths 5.0993, 5.0993, 5.0993 Å; angles 90.00, 90.00, 90.00 degrees
Fractional positions:
Ca1 0.0000 0.0000 0.0000
Bi1 0.5000 0.5000 0.5000
Pd1 0.0000 0.5000 0.5000
Pd2 0.5000 0.0000 0.5000
Pd3 0.5000 0.5000 0.0000

Calculated values
Formation energy from the elements ... -30.4 meV per atom
Calculated volume ... 26.519 Å³ per atom
M_tot ... 0.000 μB/f.u.
Offset from the most stable computed form ... 2.169 eV/f.u.
Space group ... Pm-3m (221)